Entry 1:
The following is a DFT calculation (PBE) of a relaxed La2Sm2Tm5 crystal.

Summary:
formation energy = 0.20 eV/atom
final energy = -4.425 eV/atom
N(E_F) = 1.7444 states/eV per atom
relative energy among the computed polymorphs = 0 meV per atom

a b c (Å): 14.969 11.892 6.730
angles (deg): 90.00 90.00 90.00
Space group Ima2 (No. 46)
Inequivalent atoms, fractional coordinates:
1 La 0.127 0.000 0.000 [8 per cell]
2 Sm 0.000 0.000 0.543 [4 per cell]
3 Sm 0.250 0.010 0.453 [4 per cell]
4 Tm 0.053 0.744 0.858 [8 per cell]
5 Tm 0.142 0.233 0.671 [8 per cell]
6 Tm 0.250 0.743 0.648 [4 per cell]

Entry 2:
The following is a DFT calculation (PBE) of a relaxed La4Sm5Tm2 crystal.

Summary:
formation energy = 0.26 eV/atom
final energy = -4.487 eV/atom
N(E_F) = 1.4461 states/eV per atom
relative energy among the computed polymorphs = 180 meV per atom

a b c (Å): 3.529 9.502 23.033
angles (deg): 90.00 90.00 90.00
Space group Immm (No. 71)
Inequivalent atoms, fractional coordinates:
1 La 0.000 0.000 0.093 [4 per cell]
2 La 0.000 0.289 0.500 [4 per cell]
3 Sm 0.000 0.204 0.347 [8 per cell]
4 Sm 0.000 0.500 0.000 [2 per cell]
5 Tm 0.000 0.000 0.229 [4 per cell]

Entry 3:
The following is a DFT calculation (PBE) of a relaxed La6SmTm12 crystal.

Summary:
formation energy = 0.22 eV/atom
final energy = -4.404 eV/atom
N(E_F) = 1.6970 states/eV per atom

a b c (Å): 13.2757 13.2757 12.6406
angles (deg): 90.00 90.00 120.00
Space group R-3m (No. 166, hexagonal axes)
Inequivalent atoms, fractional coordinates:
1 La 0.0365 0.5183 0.1161 [18 per cell]
2 Sm 0.0000 0.0000 0.5000 [3 per cell]
3 Tm 0.0000 0.2532 0.0000 [18 per cell]
4 Tm 0.0918 0.1835 0.7627 [18 per cell]